## Sr2MgGe4Pd3 (GGA-PBE)

Data for an optimized crystal structure of Sr2MgGe4Pd3.

abc: 4.403 4.403 10.776
angles: 90.00 90.00 90.00
Fractional positions:
Sr  0.000  0.500  0.244
Sr  0.500  0.000  0.756
Mg  0.000  0.000  0.500
Ge  0.000  0.000  0.000
Ge  0.000  0.500  0.642
Ge  0.500  0.000  0.358
Ge  0.500  0.500  0.000
Pd  0.000  0.500  0.877
Pd  0.500  0.000  0.123
Pd  0.500  0.500  0.500

## Properties
Formation energy   -626.0 meV/atom
Spin magnetization   0.0 Bohr magnetons per cell
ρ   6.43 g/cm3